Below is RbLiNp2Cl8 after structural relaxation, with properties calculated at the PBE level.

abc: 6.7045 6.8699 8.6211
angles: 90.40 90.71 96.91
Space group P-1 (No. 2)
Asymmetric unit:
Rb  0.0000  0.0000  0.0000 x1
Li  0.0000  0.0000  0.5000 x1
Np  0.4994  0.4997  0.2599 x2
Cl  0.2252  0.1830  0.2973 x2
Cl  0.2294  0.1798  0.7107 x2
Cl  0.2971  0.6560  0.4994 x2
Cl  0.3066  0.6409  0.9988 x2

Formation energy (no corrections) ... -40.20 kcal/mol of atoms
Total moment ... 0.667 μB per atom



Below is Li2NpScCl8 after structural relaxation, with properties calculated at the PBE level.

abc: 6.2578 6.3738 7.8129
angles: 90.39 90.35 95.39
Space group P-1 (No. 2)
Asymmetric unit:
Li  0.0026  0.4982  0.2391 x2
Np  0.5000  0.0000  0.5000 x1
Sc  0.5000  0.0000  0.0000 x1
Cl  0.1997  0.6733  0.5041 x2
Cl  0.2147  0.6964  0.0015 x2
Cl  0.2966  0.1746  0.7688 x2
Cl  0.3006  0.1797  0.2312 x2

Formation energy (no corrections) ... -42.53 kcal/mol of atoms
Total moment ... 0.333 μB per atom



Below is Li2NpSnCl8 after structural relaxation, with properties calculated at the PBE level.

abc: 6.6007 6.8814 8.5174
angles: 72.91 89.80 78.64
Space group P-1 (No. 2)
Asymmetric unit:
Li  0.0418  0.1412  0.3250 x2
Np  0.5000  0.5000  0.0000 x1
Sn  0.5000  0.5000  0.5000 x1
Cl  0.1178  0.7748  0.4481 x2
Cl  0.1446  0.7540  0.9375 x2
Cl  0.3682  0.2791  0.2821 x2
Cl  0.3816  0.2883  0.8209 x2

Formation energy (no corrections) ... -35.11 kcal/mol of atoms
Total moment ... 0.250 μB per atom



Below is LiNpSn2Cl8 after structural relaxation, with properties calculated at the PBE level.

abc: 6.5623 6.8084 8.1836
angles: 89.58 89.51 86.78
Space group P-1 (No. 2)
Asymmetric unit:
Li  0.0000  0.0000  0.0000 x1
Np  0.0000  0.0000  0.5000 x1
Sn  0.5002  0.5001  0.2410 x2
Cl  0.2123  0.8404  0.7642 x2
Cl  0.2142  0.8399  0.2360 x2
Cl  0.2442  0.3101  0.5086 x2
Cl  0.2852  0.3359  0.9989 x2

Formation energy (no corrections) ... -31.06 kcal/mol of atoms
Total moment ... 0.333 μB per atom



Below is SrLiNpCl6 after structural relaxation, with properties calculated at the PBE level.

abc: 6.8530 6.8530 12.7853
angles: 90.00 90.00 120.00
Space group P-31c (No. 163)
Asymmetric unit:
Sr  0.0000  0.0000  0.0000 x2
Li  0.3333  0.6667  0.2500 x2
Np  0.3333  0.6667  0.7500 x2
Cl  0.0130  0.3567  0.1330 x12

Formation energy (no corrections) ... -45.40 kcal/mol of atoms
Total moment ... 0.444 μB per atom



Below is Li2TbNpCl8 after structural relaxation, with properties calculated at the PBE level.

abc: 6.3313 6.3852 8.0932
angles: 90.36 90.32 94.23
Space group P-1 (No. 2)
Asymmetric unit:
Li  0.0011  0.0022  0.2571 x2
Tb  0.5000  0.5000  0.5000 x1
Np  0.5000  0.5000  0.0000 x1
Cl  0.1950  0.1836  0.0056 x2
Cl  0.2000  0.1893  0.5020 x2
Cl  0.2964  0.6870  0.2568 x2
Cl  0.2998  0.6907  0.7433 x2

Formation energy (no corrections) ... -43.81 kcal/mol of atoms
Total moment ... 0.333 μB per atom



Below is LiNpTl2Cl6 after structural relaxation, with properties calculated at the PBE level.

abc: 7.3059 7.5647 12.7111
angles: 90.00 124.83 90.00
Space group P2_1/c (No. 14)
Asymmetric unit:
Li  0.0000  0.0000  0.0000 x2
Np  0.5000  0.0000  0.5000 x2
Tl  0.2372  0.0586  0.7511 x4
Cl  0.1610  0.2108  0.4592 x4
Cl  0.2568  0.7029  0.4639 x4
Cl  0.3194  0.0177  0.2434 x4

Formation energy (no corrections) ... -33.69 kcal/mol of atoms
Total moment ... 0.400 μB per atom



Below is Li2NpTl3Cl9 after structural relaxation, with properties calculated at the PBE level.

abc: 7.2873 7.2873 9.2000
angles: 90.00 90.00 120.00
Space group P-3m1 (No. 164)
Asymmetric unit:
Li  0.3333  0.6667  0.1354 x2
Np  0.0000  0.0000  0.5000 x1
Tl  0.0000  0.0000  0.0000 x1
Tl  0.3333  0.6667  0.7461 x2
Cl  0.0000  0.5000  0.0000 x3
Cl  0.1660  0.3320  0.3315 x6

Formation energy (no corrections) ... -33.16 kcal/mol of atoms
Total moment ... 0.200 μB per atom



Below is LiNpTlCl5 after structural relaxation, with properties calculated at the PBE level.

abc: 9.0270 12.2135 10.2573
angles: 90.00 114.26 90.00
Space group C2/c (No. 15)
Asymmetric unit:
Li  0.0000  0.1904  0.2500 x4
Np  0.0000  0.5000  0.0000 x4
Tl  0.0000  0.1460  0.7500 x4
Cl  0.0000  0.4193  0.7500 x4
Cl  0.1119  0.3000  0.1189 x8
Cl  0.1865  0.0661  0.4252 x8

Formation energy (no corrections) ... -36.14 kcal/mol of atoms
Total moment ... 0.500 μB per atom



Below is Li2NpTlCl6 after structural relaxation, with properties calculated at the PBE level.

abc: 6.9919 6.9919 18.6594
angles: 90.00 90.00 120.00
Space group R3 (No. 146, hexagonal axes)
Asymmetric unit:
Li  0.0000  0.0000  0.0000 x3
Li  0.0000  0.0000  0.4897 x3
Np  0.0000  0.0000  0.6944 x3
Tl  0.0000  0.0000  0.2189 x3
Cl  0.0085  0.5696  0.2616 x9
Cl  0.0290  0.3359  0.0889 x9

Formation energy (no corrections) ... -36.58 kcal/mol of atoms
Total moment ... 0.400 μB per atom



Below is Li2YNpCl8 after structural relaxation, with properties calculated at the PBE level.

abc: 6.3123 6.3937 8.0790
angles: 90.36 90.36 94.28
Space group P-1 (No. 2)
Asymmetric unit:
Li  0.0015  0.0019  0.2571 x2
Y  0.5000  0.5000  0.5000 x1
Np  0.5000  0.5000  0.0000 x1
Cl  0.1976  0.1808  0.0056 x2
Cl  0.2032  0.1873  0.5019 x2
Cl  0.2933  0.6836  0.2573 x2
Cl  0.2970  0.6874  0.7426 x2

Formation energy (no corrections) ... -43.80 kcal/mol of atoms
Total moment ... 0.333 μB per atom



Below is Li4Cl2O after structural relaxation, with properties calculated at the PBE level.

abc: 7.3235 9.6638 3.3257
angles: 90.00 90.00 90.00
Space group Cmmm (No. 65)
Asymmetric unit:
Li  0.0000  0.1943  0.0000 x4
Li  0.1552  0.0000  0.5000 x4
Cl  0.2500  0.2500  0.5000 x4
O  0.0000  0.0000  0.0000 x2

Formation energy (no corrections) ... -40.58 kcal/mol of atoms
Total moment ... 0.000 μB per atom
Offset from the most stable computed form ... 0.041 eV per atom



- formation energy (no corrections) of number 3 (Li2NpSnCl8)?
  -35.11 kcal/mol of atoms